A plane-wave DFT calculation with GGA-PBE was carried out for an optimized crystal structure of ScBe3Pb.

The value obtained for the size of the total moment is 0.00 Bohr magnetons per cell. The formation energy is 1.486 eV per atom. The density comes out at 4.049 g/cm3.

The structure belongs to space group Pm-3m (No. 221); the cell edges are 4.8560, 4.8560 and 4.8560 Å and the angles 90.00°, 90.00° and 90.00°. The asymmetric unit holds Sc at (0.0000, 0.0000, 0.0000), Be at (0.0000, 0.0000, 0.5000) and Pb at (0.5000, 0.5000, 0.5000).